[1]
Bi3SbPb8 GGA-PBE relaxed; total moment = 0.000 μB/atom; E = -3.75 eV per atom; space-group type = Cm, No. 8
1.0
4.529 -5.506 0.000
4.529 5.506 0.000
-2.325 0.000 7.720
Bi Sb Pb
3 1 8
direct
0.000 0.000 0.000
0.349 0.862 0.411
0.862 0.349 0.411
0.499 0.499 0.998
0.018 0.527 0.076
0.172 0.172 0.683
0.189 0.682 0.734
0.343 0.343 0.327
0.527 0.018 0.076
0.669 0.669 0.681
0.682 0.189 0.734
0.821 0.821 0.335

=====

[2]
TeSI GGA-PBE relaxed; total moment = 0.000 μB/atom; E = -2.89 eV per atom; polymorph energy (0 for the lowest one) = 0.033 eV per atom; space-group type = P1, No. 1
1.0
6.485 0.000 0.000
-2.760 6.041 0.000
-3.127 -1.782 6.819
Te S I
2 2 2
direct
0.000 0.000 0.000
0.411 0.083 0.831
0.446 0.265 0.145
0.825 0.243 0.828
0.135 0.717 0.386
0.284 0.395 0.606

=====

[3]
LaHo4In2 GGA-PBE relaxed; total moment = 0.000 μB/atom; E = -4.24 eV per atom; polymorph energy (0 for the lowest one) = 0.000 eV per atom; space-group type = Fmmm, No. 69
1.0
0.000 5.379 5.987
3.401 0.000 5.987
3.401 5.379 0.000
La Ho In
1 4 2
direct
0.000 0.000 0.000
0.250 0.250 0.250
0.332 0.668 0.332
0.668 0.332 0.668
0.750 0.750 0.750
0.283 0.283 0.717
0.717 0.717 0.283

=====

[4]
TbPr2Ge3Pt4 GGA-PBE relaxed; total moment = 0.000 μB/atom; E = -6.18 eV per atom; space-group type = P-4m2, No. 115
1.0
4.355 0.000 0.000
0.000 4.355 0.000
0.000 0.000 11.116
Tb Pr Ge Pt
1 2 3 4
direct
0.000 0.000 0.000
0.000 0.500 0.723
0.500 0.000 0.277
0.000 0.500 0.379
0.500 0.000 0.621
0.500 0.500 0.000
0.000 0.000 0.500
0.000 0.500 0.157
0.500 0.000 0.843
0.500 0.500 0.500

=====

[5]
Er6TeC3 GGA-PBE relaxed; total moment = 0.072 μB/atom; E = -6.28 eV per atom; space-group type = P2_1/m, No. 11
1.0
10.291 0.000 0.000
0.000 3.657 0.000
-2.338 0.000 11.288
Er Te C
12 2 6
direct
0.025 0.250 0.125
0.114 0.750 0.454
0.171 0.250 0.744
0.288 0.750 0.021
0.302 0.250 0.302
0.418 0.250 0.583
0.582 0.750 0.417
0.698 0.750 0.698
0.712 0.250 0.979
0.829 0.750 0.256
0.886 0.250 0.546
0.975 0.750 0.875
0.451 0.750 0.816
0.549 0.250 0.184
0.022 0.750 0.655
0.139 0.250 0.946
0.353 0.750 0.441
0.647 0.250 0.559
0.861 0.750 0.054
0.978 0.250 0.345

=====

[6]
TmPa3P4N12 GGA-PBE relaxed; total moment = 0.000 μB/atom; E = -8.57 eV per atom; space-group type = R32, No. 155
1.0
5.398 3.116 2.891
-5.398 3.116 2.891
0.000 -6.233 2.891
Tm Pa P N
1 3 4 12
direct
0.000 0.000 0.000
0.000 0.538 0.462
0.462 0.000 0.538
0.538 0.462 0.000
0.038 0.500 0.962
0.500 0.500 0.500
0.500 0.962 0.038
0.962 0.038 0.500
0.026 0.649 0.817
0.109 0.891 0.500
0.183 0.351 0.974
0.351 0.974 0.183
0.353 0.647 0.500
0.500 0.109 0.891
0.500 0.353 0.647
0.647 0.500 0.353
0.649 0.817 0.026
0.817 0.026 0.649
0.891 0.500 0.109
0.974 0.183 0.351

=====

[7]
CaMg2Sc GGA-PBE relaxed; total moment = 0.000 μB/atom; E = -2.77 eV per atom; space-group type = I-4m2, No. 119
1.0
-2.379 2.379 4.783
2.379 -2.379 4.783
2.379 2.379 -4.783
Ca Mg Sc
1 2 1
direct
0.000 0.000 0.000
0.250 0.750 0.500
0.500 0.500 0.000
0.750 0.250 0.500

=====

[8]
K2HoTe3O12 GGA-PBE relaxed; total moment = 0.046 μB/atom; E = -5.66 eV per atom; space-group type = R-3m, No. 166
1.0
3.700 2.136 6.201
-3.700 2.136 6.201
0.000 -4.273 6.201
K Ho Te O
2 1 3 12
direct
0.126 0.126 0.126
0.874 0.874 0.874
0.500 0.500 0.500
0.000 0.500 0.500
0.500 0.000 0.500
0.500 0.500 0.000
0.144 0.578 0.578
0.184 0.184 0.583
0.184 0.583 0.184
0.417 0.816 0.816
0.422 0.422 0.856
0.422 0.856 0.422
0.578 0.144 0.578
0.578 0.578 0.144
0.583 0.184 0.184
0.816 0.417 0.816
0.816 0.816 0.417
0.856 0.422 0.422

=====

[9]
La3Er4Th2 GGA-PBE relaxed; total moment = 0.000 μB/atom; E = -5.26 eV per atom; space-group type = P-1, No. 2
1.0
7.171 0.000 0.000
-0.046 8.806 0.000
-0.011 -2.231 9.571
La Er Th
6 8 4
direct
0.000 0.145 0.281
0.000 0.855 0.719
0.261 0.811 0.035
0.263 0.505 0.505
0.737 0.495 0.495
0.739 0.189 0.965
0.003 0.529 0.179
0.251 0.201 0.965
0.256 0.169 0.618
0.498 0.145 0.287
0.502 0.855 0.713
0.744 0.831 0.382
0.749 0.799 0.035
0.997 0.471 0.821
0.253 0.837 0.388
0.495 0.520 0.177
0.505 0.480 0.823
0.747 0.163 0.612

=====

[10]
Ni2AgPt9 GGA-PBE relaxed; total moment = 0.161 μB/atom; E = -5.76 eV per atom; space-group type = P4/mmm, No. 123
1.0
3.926 0.000 0.000
0.000 3.926 0.000
0.000 0.000 11.781
Ni Ag Pt
2 1 9
direct
0.000 0.000 0.161
0.000 0.000 0.839
0.000 0.000 0.500
0.000 0.500 0.000
0.000 0.500 0.324
0.000 0.500 0.676
0.500 0.000 0.000
0.500 0.000 0.324
0.500 0.000 0.676
0.500 0.500 0.162
0.500 0.500 0.500
0.500 0.500 0.838

=====

[11]
KRuCl2 GGA-PBE relaxed; total moment = 0.752 μB/atom; E = -3.16 eV per atom; polymorph energy (0 for the lowest one) = 0.840 eV per atom; space-group type = F-43m, No. 216
1.0
0.000 3.649 3.649
3.649 0.000 3.649
3.649 3.649 0.000
K Ru Cl
1 1 2
direct
0.000 0.000 0.000
0.750 0.750 0.750
0.250 0.250 0.250
0.500 0.500 0.500

=====

[12]
GeTeCI2 GGA-PBE relaxed; total moment = 0.119 μB/atom; E = -2.39 eV per atom; polymorph energy (0 for the lowest one) = 0.497 eV per atom; space-group type = P4/mmm, No. 123
1.0
5.702 0.000 0.000
0.000 5.702 0.000
0.000 0.000 5.587
Ge Te C I
1 1 1 2
direct
0.000 0.000 0.000
0.000 0.000 0.500
0.500 0.500 0.500
0.000 0.500 0.000
0.500 0.000 0.000